[1]
Zn2ReTc | meta-GGA SCAN | single point on PBEsol structure

```
data_Zn2ReTc
_space_group_name_H-M_alt 'P 4 m m'
_space_group_IT_number 99
_space_group_name_Hall 'P 4 -2'
_cell_length_a 2.921
_cell_length_b 2.921
_cell_length_c 6.611
_cell_angle_alpha 90.00
_cell_angle_beta 90.00
_cell_angle_gamma 90.00
loop_
_atom_site_label
_atom_site_type_symbol
_atom_site_fract_x
_atom_site_fract_y
_atom_site_fract_z
Zn1 Zn 0.000 0.000 0.000
Zn2 Zn 0.500 0.500 0.243
Re1 Re 0.000 0.000 0.513
Tc1 Tc 0.500 0.500 0.736
```

Output
Calculated formation energy = -12 meV/atom
Volume = 14.10 A^3/atom
Offset from the most stable computed form = 0.000 eV/f.u.



[2]
ZnReTc2 | meta-GGA SCAN | single point on PBEsol structure

```
data_ZnReTc2
_space_group_name_H-M_alt 'C 1 2/m 1'
_space_group_IT_number 12
_space_group_name_Hall '-C 2y'
_cell_length_a 5.360
_cell_length_b 8.618
_cell_length_c 2.643
_cell_angle_alpha 90.00
_cell_angle_beta 112.76
_cell_angle_gamma 90.00
loop_
_atom_site_label
_atom_site_type_symbol
_atom_site_fract_x
_atom_site_fract_y
_atom_site_fract_z
Zn1 Zn 0.000 0.000 0.000
Re1 Re 0.000 0.500 0.000
Tc1 Tc 0.250 0.250 0.500
```

Output
Calculated formation energy = 221 meV/atom
Volume = 14.08 A^3/atom



[3]
ZnReTc | meta-GGA SCAN | single point on PBEsol structure

```
data_ZnReTc
_space_group_name_H-M_alt 'F -4 3 m'
_space_group_IT_number 216
_space_group_name_Hall 'F -4 2 3'
_cell_length_a 5.827
_cell_length_b 5.827
_cell_length_c 5.827
_cell_angle_alpha 90.00
_cell_angle_beta 90.00
_cell_angle_gamma 90.00
loop_
_atom_site_label
_atom_site_type_symbol
_atom_site_fract_x
_atom_site_fract_y
_atom_site_fract_z
Zn1 Zn 0.000 0.000 0.000
Re1 Re 0.000 0.000 0.500
Tc1 Tc 0.250 0.250 0.250
```

Output
Calculated formation energy = 521 meV/atom
Volume = 16.49 A^3/atom
Offset from the most stable computed form = 1.603 eV/f.u.



[4]
ZnReTc2 | meta-GGA SCAN | single point on PBEsol structure

```
data_ZnReTc2
_space_group_name_H-M_alt 'P 4/m m m'
_space_group_IT_number 123
_space_group_name_Hall '-P 4 2'
_cell_length_a 3.050
_cell_length_b 3.050
_cell_length_c 5.994
_cell_angle_alpha 90.00
_cell_angle_beta 90.00
_cell_angle_gamma 90.00
loop_
_atom_site_label
_atom_site_type_symbol
_atom_site_fract_x
_atom_site_fract_y
_atom_site_fract_z
Zn1 Zn 0.000 0.000 0.000
Re1 Re 0.000 0.000 0.500
Tc1 Tc 0.500 0.500 0.246
```

Output
Calculated formation energy = 74 meV/atom
Volume = 13.94 A^3/atom



[5]
Zn2ReTc | meta-GGA SCAN | single point on PBEsol structure

```
data_Zn2ReTc
_space_group_name_H-M_alt 'F m -3 m'
_space_group_IT_number 225
_space_group_name_Hall '-F 4 2 3'
_cell_length_a 6.002
_cell_length_b 6.002
_cell_length_c 6.002
_cell_angle_alpha 90.00
_cell_angle_beta 90.00
_cell_angle_gamma 90.00
loop_
_atom_site_label
_atom_site_type_symbol
_atom_site_fract_x
_atom_site_fract_y
_atom_site_fract_z
Zn1 Zn 0.250 0.250 0.250
Re1 Re 0.000 0.000 0.000
Tc1 Tc 0.000 0.000 0.500
```

Output
Calculated formation energy = 480 meV/atom
Volume = 13.52 A^3/atom
Offset from the most stable computed form = 1.970 eV/f.u.



[6]
Zn2ReTc | meta-GGA SCAN | single point on PBEsol structure

```
data_Zn2ReTc
_space_group_name_H-M_alt 'C 1 m 1'
_space_group_IT_number 8
_space_group_name_Hall 'C -2y'
_cell_length_a 8.746
_cell_length_b 2.707
_cell_length_c 4.737
_cell_angle_alpha 90.00
_cell_angle_beta 97.26
_cell_angle_gamma 90.00
loop_
_atom_site_label
_atom_site_type_symbol
_atom_site_fract_x
_atom_site_fract_y
_atom_site_fract_z
Zn1 Zn 0.000 0.000 0.000
Zn2 Zn 0.247 0.000 0.789
Re1 Re 0.498 0.000 0.498
Tc1 Tc 0.249 0.500 0.292
```

Output
Calculated formation energy = 124 meV/atom
Volume = 13.90 A^3/atom
Offset from the most stable computed form = 0.545 eV/f.u.



[7]
ZnReTc2 | meta-GGA SCAN | single point on PBEsol structure

```
data_ZnReTc2
_space_group_name_H-M_alt 'C 1 m 1'
_space_group_IT_number 8
_space_group_name_Hall 'C -2y'
_cell_length_a 9.169
_cell_length_b 2.762
_cell_length_c 4.565
_cell_angle_alpha 90.00
_cell_angle_beta 103.18
_cell_angle_gamma 90.00
loop_
_atom_site_label
_atom_site_type_symbol
_atom_site_fract_x
_atom_site_fract_y
_atom_site_fract_z
Zn1 Zn 0.000 0.000 0.000
Re1 Re 0.257 0.500 0.266
Tc1 Tc 0.001 0.500 0.501
Tc2 Tc 0.243 0.000 0.742
```

Output
Calculated formation energy = 136 meV/atom
Volume = 14.07 A^3/atom



[8]
ZnRe2Tc | meta-GGA SCAN | single point on PBEsol structure

```
data_ZnRe2Tc
_space_group_name_H-M_alt 'P m m m'
_space_group_IT_number 47
_space_group_name_Hall '-P 2 2'
_cell_length_a 3.033
_cell_length_b 4.311
_cell_length_c 4.331
_cell_angle_alpha 90.00
_cell_angle_beta 90.00
_cell_angle_gamma 90.00
loop_
_atom_site_label
_atom_site_type_symbol
_atom_site_fract_x
_atom_site_fract_y
_atom_site_fract_z
Zn1 Zn 0.000 0.000 0.000
Re1 Re 0.000 0.500 0.500
Re2 Re 0.500 0.000 0.500
Tc1 Tc 0.500 0.500 0.000
```

Output
Calculated formation energy = 249 meV/atom
Volume = 14.16 A^3/atom



What is the volume in the fourth record?
13.94 A^3/atom



Which value of volume does entry 7 give?
14.07 A^3/atom



What did the seventh record say?
ZnReTc2 | meta-GGA SCAN | single point on PBEsol structure

```
data_ZnReTc2
_space_group_name_H-M_alt 'C 1 m 1'
_space_group_IT_number 8
_space_group_name_Hall 'C -2y'
_cell_length_a 9.169
_cell_length_b 2.762
_cell_length_c 4.565
_cell_angle_alpha 90.00
_cell_angle_beta 103.18
_cell_angle_gamma 90.00
loop_
_atom_site_label
_atom_site_type_symbol
_atom_site_fract_x
_atom_site_fract_y
_atom_site_fract_z
Zn1 Zn 0.000 0.000 0.000
Re1 Re 0.257 0.500 0.266
Tc1 Tc 0.001 0.500 0.501
Tc2 Tc 0.243 0.000 0.742
```

Output
Calculated formation energy = 136 meV/atom
Volume = 14.07 A^3/atom



calculated formation energy of number 2 (ZnReTc2)?
221 meV/atom